Entry 1:
Compound: CePmDy2Se4
Source: Alexandria via LeMat-Bulk
Functional: PBE
Structure: optimized geometry

Output
Raw total energy: -48.2 eV/f.u.
V: 200.2 Å³/cell
Calculated density: 7679 kg/m3
Formation energy (no corrections): -14.4 eV per formula unit

Structure (CIF):
```
data_CePmDy2Se4
_chemical_formula_sum 'Ce1 Pm1 Dy2 Se4'
_cell_length_a 4.095
_cell_length_b 7.247
_cell_length_c 7.132
_cell_angle_alpha 71.07
_cell_angle_beta 90.00
_cell_angle_gamma 90.00
_space_group_name_H-M_alt 'P 1'
_space_group_IT_number 1
loop_
_space_group_symop_operation_xyz
'x,y,z'
loop_
_atom_site_label
_atom_site_fract_x
_atom_site_fract_y
_atom_site_fract_z
_atom_site_occupancy
Dy1 0.500 0.000 0.500 1
Se1 0.500 0.239 0.754 1
Ce1 0.500 0.500 0.000 1
Dy2 0.000 0.000 0.000 1
Pm1 0.000 0.500 0.500 1
Se2 0.500 0.761 0.246 1
Se3 0.000 0.762 0.746 1
Se4 0.000 0.238 0.254 1
```

=====

Entry 2:
Compound: BeBi2P
Source: Alexandria via LeMat-Bulk
Functional: PBE
Structure: optimized geometry

Output
Raw total energy: -14.2 eV/f.u.
V: 88.2 Å³/cell
Calculated density: 8620 kg/m3
Energy of formation from the pure elements: 0.6631 eV/atom

Structure (CIF):
```
data_BeBi2P
_chemical_formula_sum 'Be1 Bi2 P1'
_cell_length_a 4.997
_cell_length_b 4.997
_cell_length_c 4.997
_cell_angle_alpha 60.00
_cell_angle_beta 60.00
_cell_angle_gamma 60.00
_space_group_name_H-M_alt 'P 1'
_space_group_IT_number 1
loop_
_space_group_symop_operation_xyz
'x,y,z'
loop_
_atom_site_label
_atom_site_fract_x
_atom_site_fract_y
_atom_site_fract_z
_atom_site_occupancy
Bi1 0.750 0.750 0.750 1
Be1 0.000 0.000 0.000 1
Bi2 0.250 0.250 0.250 1
P1 0.500 0.500 0.500 1
```

=====

Entry 3:
Compound: PaSbS2N
Source: Alexandria via LeMat-Bulk
Functional: PBE
Structure: optimized geometry

Output
Raw total energy: -35.5 eV/f.u.
V: 201.1 Å³/cell
Calculated density: 7117 kg/m3
Formation energy (no corrections): -5.3 eV per formula unit

Structure (CIF):
```
data_PaSbS2N
_chemical_formula_sum 'Pa2 Sb2 S4 N2'
_cell_length_a 3.908
_cell_length_b 3.908
_cell_length_c 13.167
_cell_angle_alpha 90.00
_cell_angle_beta 90.00
_cell_angle_gamma 90.00
_space_group_name_H-M_alt 'P 1'
_space_group_IT_number 1
loop_
_space_group_symop_operation_xyz
'x,y,z'
loop_
_atom_site_label
_atom_site_fract_x
_atom_site_fract_y
_atom_site_fract_z
_atom_site_occupancy
S1 0.500 0.000 0.312 1
Sb1 0.000 0.500 0.882 1
N1 0.000 0.000 0.500 1
S2 0.000 0.500 0.688 1
Pa1 0.500 0.000 0.592 1
Sb2 0.500 0.000 0.118 1
S3 0.000 0.500 0.121 1
N2 0.500 0.500 0.500 1
Pa2 0.000 0.500 0.408 1
S4 0.500 0.000 0.879 1
```

=====

Entry 4:
Compound: MgCrCdRe2
Source: Alexandria via LeMat-Bulk
Functional: PBE
Structure: optimized geometry

Output
Raw total energy: -26.6 eV/f.u.
V: 98.3 Å³/cell
Calculated density: 9476 kg/m3
Energy of formation from the pure elements: 2.0906 eV/atom

Structure (CIF):
```
data_MgCrCdRe2
_chemical_formula_sum 'Mg1 Cr1 Cd1 Re2'
_cell_length_a 4.660
_cell_length_b 4.527
_cell_length_c 4.660
_cell_angle_alpha 90.00
_cell_angle_beta 90.00
_cell_angle_gamma 90.00
_space_group_name_H-M_alt 'P 1'
_space_group_IT_number 1
loop_
_space_group_symop_operation_xyz
'x,y,z'
loop_
_atom_site_label
_atom_site_fract_x
_atom_site_fract_y
_atom_site_fract_z
_atom_site_occupancy
Cr1 0.000 0.500 0.000 1
Mg1 0.000 0.000 0.000 1
Cd1 0.500 0.500 0.500 1
Re1 0.500 0.000 0.000 1
Re2 0.000 0.000 0.500 1
```

=====

Entry 5:
Compound: Cs3ErPu3Se8
Source: Alexandria via LeMat-Bulk
Functional: PBE
Structure: optimized geometry

Output
Raw total energy: -100.5 eV/f.u.
V: 528.1 Å³/cell
Calculated density: 6067 kg/m3
Formation energy (no corrections): -22.5 eV per formula unit

Structure (CIF):
```
data_Cs3ErPu3Se8
_chemical_formula_sum 'Cs3 Er1 Pu3 Se8'
_cell_length_a 8.485
_cell_length_b 8.483
_cell_length_c 9.784
_cell_angle_alpha 115.66
_cell_angle_beta 90.00
_cell_angle_gamma 120.00
_space_group_name_H-M_alt 'P 1'
_space_group_IT_number 1
loop_
_space_group_symop_operation_xyz
'x,y,z'
loop_
_atom_site_label
_atom_site_fract_x
_atom_site_fract_y
_atom_site_fract_z
_atom_site_occupancy
Pu1 0.500 0.500 0.500 1
Cs1 0.000 0.500 0.000 1
Pu2 0.000 0.500 0.500 1
Se1 0.226 0.452 0.680 1
Cs2 0.500 0.500 0.000 1
Pu3 0.500 0.000 0.500 1
Se2 0.272 0.046 0.320 1
Er1 0.000 0.000 0.500 1
Se3 0.226 0.954 0.680 1
Se4 0.774 0.046 0.320 1
Se5 0.727 0.454 0.682 1
Se6 0.273 0.546 0.318 1
Se7 0.774 0.548 0.320 1
Se8 0.728 0.954 0.680 1
Cs3 0.000 0.000 0.000 1
```

=====

Entry 6:
Compound: Ba2LaCd
Source: Alexandria via LeMat-Bulk
Functional: PBE
Structure: optimized geometry

Output
Raw total energy: -9.4 eV/f.u.
V: 160.5 Å³/cell
Calculated density: 5440 kg/m3
Energy of formation from the pure elements: 0.0818 eV/atom

Structure (CIF):
```
data_Ba2LaCd
_chemical_formula_sum 'Ba2 La1 Cd1'
_cell_length_a 6.643
_cell_length_b 6.643
_cell_length_c 6.643
_cell_angle_alpha 131.60
_cell_angle_beta 131.60
_cell_angle_gamma 70.86
_space_group_name_H-M_alt 'P 1'
_space_group_IT_number 1
loop_
_space_group_symop_operation_xyz
'x,y,z'
loop_
_atom_site_label
_atom_site_fract_x
_atom_site_fract_y
_atom_site_fract_z
_atom_site_occupancy
Ba1 0.000 0.000 0.000 1
La1 0.750 0.250 0.500 1
Cd1 0.500 0.500 0.000 1
Ba2 0.250 0.750 0.500 1
```

=====

The highest calculated density belongs to which entry? MgCrCdRe2

=====

Which value of calculated density does entry 2 give? 8620 kg/m3

=====

Please write out number 2 again, unchanged.
Compound: BeBi2P
Source: Alexandria via LeMat-Bulk
Functional: PBE
Structure: optimized geometry

Output
Raw total energy: -14.2 eV/f.u.
V: 88.2 Å³/cell
Calculated density: 8620 kg/m3
Energy of formation from the pure elements: 0.6631 eV/atom

Structure (CIF):
```
data_BeBi2P
_chemical_formula_sum 'Be1 Bi2 P1'
_cell_length_a 4.997
_cell_length_b 4.997
_cell_length_c 4.997
_cell_angle_alpha 60.00
_cell_angle_beta 60.00
_cell_angle_gamma 60.00
_space_group_name_H-M_alt 'P 1'
_space_group_IT_number 1
loop_
_space_group_symop_operation_xyz
'x,y,z'
loop_
_atom_site_label
_atom_site_fract_x
_atom_site_fract_y
_atom_site_fract_z
_atom_site_occupancy
Bi1 0.750 0.750 0.750 1
Be1 0.000 0.000 0.000 1
Bi2 0.250 0.250 0.250 1
P1 0.500 0.500 0.500 1
```